(1)
{
  "formula": "Ba5Na2TlHg2",
  "functional": "PBE-GGA",
  "state": "relaxed",
  "lattice": [[4.2912, 0.0000, 0.0000], [0.0000, 14.5289, 0.0000], [0.0000, 0.0000, 14.5289]],
  "species": ["Ba", "Ba", "Ba", "Ba", "Ba", "Ba", "Ba", "Ba", "Ba", "Ba", "Hg", "Hg", "Hg", "Hg", "Na", "Na", "Na", "Na", "Tl", "Tl"],
  "fractional_positions": [[0.5000, 0.9558, 0.1992], [0.5000, 0.8008, 0.9558], [0.5000, 0.5442, 0.6992], [0.5000, 0.5000, 0.0000], [0.5000, 0.6992, 0.4558], [0.5000, 0.0000, 0.5000], [0.5000, 0.4558, 0.3008], [0.5000, 0.0442, 0.8008], [0.5000, 0.3008, 0.5442], [0.5000, 0.1992, 0.0442], [0.0000, 0.3643, 0.1357], [0.0000, 0.8643, 0.3643], [0.0000, 0.1357, 0.6357], [0.0000, 0.6357, 0.8643], [0.0000, 0.1951, 0.3049], [0.0000, 0.8049, 0.6951], [0.0000, 0.6951, 0.1951], [0.0000, 0.3049, 0.8049], [0.0000, 0.0000, 0.0000], [0.0000, 0.5000, 0.5000]],
  "space_group": "P4/mbm, No. 127",
  "final_energy_ry_per_atom": -0.1321,
  "formation_energy_ev_per_atom": -0.276
}

(2)
{
  "formula": "BaNa2Tl2Hg2",
  "functional": "PBE-GGA",
  "state": "relaxed",
  "lattice": [[5.3199, 0.0000, 0.0000], [2.6599, 4.6071, 0.0000], [2.6599, 1.5357, 8.6258]],
  "species": ["Hg", "Hg", "Na", "Na", "Ba", "Tl", "Tl"],
  "fractional_positions": [[0.7376, 0.7376, 0.7873], [0.2624, 0.2624, 0.2127], [0.1430, 0.1430, 0.5710], [0.8570, 0.8570, 0.4290], [0.0000, 0.0000, 0.0000], [0.4320, 0.4320, 0.7041], [0.5680, 0.5680, 0.2959]],
  "space_group": "R-3m, No. 166",
  "final_energy_ry_per_atom": -0.1246,
  "formation_energy_ev_per_atom": -0.282
}

(3)
{
  "formula": "BaNaTlHg",
  "functional": "PBE-GGA",
  "state": "relaxed",
  "lattice": [[-4.4322, 0.6592, 3.5478], [-3.9510, -4.1072, 0.4308], [-0.3438, -3.1466, 4.7587]],
  "species": ["Hg", "Ba", "Tl", "Na"],
  "fractional_positions": [[0.7500, 0.7500, 0.7500], [0.5000, 0.5000, 0.5000], [0.2500, 0.2500, 0.2500], [0.0000, 0.0000, 0.0000]],
  "space_group": "F-43m, No. 216",
  "final_energy_ry_per_atom": -0.1309,
  "formation_energy_ev_per_atom": -0.303
}

(4)
{
  "formula": "Ba4NaTl2Hg",
  "functional": "PBE-GGA",
  "state": "relaxed",
  "lattice": [[-1.4424, 0.0502, 5.9233], [4.4076, -0.0767, 4.2115], [1.1952, 9.9898, 3.3439]],
  "species": ["Na", "Ba", "Ba", "Ba", "Ba", "Hg", "Tl", "Tl"],
  "fractional_positions": [[0.0000, 0.0000, 0.0000], [0.1306, 0.1306, 0.6082], [0.3812, 0.3812, 0.8564], [0.6188, 0.6188, 0.1436], [0.8694, 0.8694, 0.3918], [0.5000, 0.5000, 0.5000], [0.2552, 0.2552, 0.2343], [0.7448, 0.7448, 0.7657]],
  "space_group": "R-3m, No. 166",
  "final_energy_ry_per_atom": -0.1548,
  "formation_energy_ev_per_atom": -0.351
}

(5)
{
  "formula": "BaNa2TlHg4",
  "functional": "PBE-GGA",
  "state": "relaxed",
  "lattice": [[5.2901, 0.0000, 0.0000], [2.6451, 4.5814, 0.0000], [2.6451, 1.5271, 9.9564]],
  "species": ["Tl", "Ba", "Hg", "Hg", "Hg", "Hg", "Na", "Na"],
  "fractional_positions": [[0.5000, 0.5000, 0.5000], [0.0000, 0.0000, 0.0000], [0.3913, 0.3913, 0.8261], [0.6087, 0.6087, 0.1739], [0.8815, 0.8815, 0.3556], [0.1185, 0.1185, 0.6444], [0.2321, 0.2321, 0.3037], [0.7679, 0.7679, 0.6963]],
  "space_group": "R-3m, No. 166",
  "final_energy_ry_per_atom": -0.0960,
  "formation_energy_ev_per_atom": -0.289
}

(6)
{
  "formula": "BaNa2ZnHg",
  "functional": "PBE-GGA",
  "state": "relaxed",
  "lattice": [[-1.2019, 3.5132, -4.2277], [-4.4534, 1.9145, 2.8570], [2.9836, 3.6631, 2.1959]],
  "species": ["Zn", "Ba", "Hg", "Na", "Na"],
  "fractional_positions": [[0.0000, 0.0000, 0.0000], [0.5000, 0.5000, 0.5000], [0.0000, 0.0000, 0.5000], [0.5000, 0.0000, 0.0000], [0.0000, 0.5000, 0.0000]],
  "space_group": "P4/mmm, No. 123",
  "final_energy_ry_per_atom": -0.0917,
  "formation_energy_ev_per_atom": -0.020
}